No. 1
A relaxed structure of Tl6Te. Source: the Alexandria database, functional GGA-PBE.

a b c (Å): 7.406 7.406 7.406
angles (deg): 109.47 109.47 109.47
Element x y z (fractional)
Tl1 0.500 0.250 0.750
Tl2 0.750 0.250 0.500
Tl3 0.500 0.750 0.250
Tl4 0.750 0.500 0.250
Tl5 0.250 0.750 0.500
Tl6 0.250 0.500 0.750
Te1 0.000 0.000 0.000

Calculated values
* ρ: 7.2 g/cm3
* uncorrected formation energy: 462 meV/atom
* symmetry: Im-3m (229)

No. 2
A relaxed structure of Ca4HfPa3N8. Source: the Alexandria database, functional GGA-PBE.

a b c (Å): 6.968 6.960 6.968
angles (deg): 120.04 120.00 90.00
Element x y z (fractional)
N1 0.260 0.281 0.521
N2 0.744 0.712 0.978
N3 0.234 0.712 0.978
N4 0.234 0.712 0.468
N5 0.766 0.288 0.532
N6 0.766 0.288 0.022
N7 0.740 0.719 0.479
N8 0.256 0.288 0.022
Pa1 0.500 0.500 0.500
Pa2 0.500 0.500 0.000
Pa3 0.000 0.500 0.500
Ca1 0.000 0.000 0.500
Ca2 0.500 0.000 0.000
Ca3 0.500 0.000 0.500
Ca4 0.000 0.000 0.000
Hf1 0.000 0.500 0.000

Calculated values
* ρ: 8.0 g/cm3
* uncorrected formation energy: -1476 meV/atom
* symmetry: R-3m (166)

No. 3
A relaxed structure of Pr2MnVS6. Source: the Alexandria database, functional GGA-PBE.

a b c (Å): 6.360 7.069 9.147
angles (deg): 90.00 89.88 90.00
Each line ends with the local moment (μB).
Element x y z (fractional)
S1 0.177 0.191 0.450  -0.01
S2 0.677 0.309 0.950  -0.01
S3 0.890 0.518 0.250  -0.03
S4 0.816 0.816 0.950  0.00
S5 0.323 0.691 0.050  -0.01
S6 0.184 0.184 0.050  0.00
S7 0.823 0.809 0.550  -0.01
S8 0.316 0.684 0.450  0.00
S9 0.610 0.018 0.250  -0.03
S10 0.110 0.482 0.750  -0.03
S11 0.390 0.982 0.750  -0.03
S12 0.684 0.316 0.550  0.00
Pr1 0.460 0.398 0.251  0.03
Pr2 0.540 0.602 0.749  0.03
Pr3 0.960 0.102 0.751  0.03
Pr4 0.040 0.898 0.249  0.03
Mn1 0.500 0.000 0.500  3.78
Mn2 0.000 0.500 0.000  3.78
V1 0.500 0.000 0.000  1.68
V2 0.000 0.500 0.500  1.68

Calculated values
* ρ: 4.7 g/cm3
* uncorrected formation energy: -1377 meV/atom
* symmetry: P2_1/c (14)

No. 4
A relaxed structure of MnTlFeTc2. Source: the Alexandria database, functional GGA-PBE.

a b c (Å): 4.445 4.517 4.445
angles (deg): 90.00 90.00 90.00
Each line ends with the local moment (μB).
Element x y z (fractional)
Tc1 0.000 0.000 0.500  -0.48
Tc2 0.500 0.000 0.000  -0.32
Tl1 0.500 0.500 0.500  -0.01
Mn1 0.000 0.500 0.000  3.58
Fe1 0.000 0.000 0.000  0.18

Calculated values
* ρ: 9.5 g/cm3
* calculated total energy: -7.10 eV per atom
* symmetry: P4/mmm (123)

No. 5
A relaxed structure of Hf2Re3Mo. Source: the Alexandria database, functional GGA-PBE.

a b c (Å): 5.320 5.320 5.271
angles (deg): 90.15 120.19 119.94
Element x y z (fractional)
Mo1 0.000 0.000 0.000
Hf1 0.751 0.376 0.127
Hf2 0.249 0.624 0.873
Re1 0.000 0.000 0.500
Re2 0.500 0.000 0.500
Re3 0.500 0.500 0.500

Calculated values
* ρ: 16.0 g/cm3
* calculated total energy: -11.67 eV per atom
* symmetry: C2/m (12)

No. 6
A relaxed structure of CoP2W. Source: the Alexandria database, functional GGA-PBE.

a b c (Å): 2.989 2.989 5.622
angles (deg): 90.00 90.00 90.00
Element x y z (fractional)
W1 0.500 0.500 0.250
Co1 0.500 0.500 0.750
P1 0.000 0.000 0.508
P2 0.000 0.000 0.992

Calculated values
* ρ: 10.1 g/cm3
* calculated total energy: -7.78 eV per atom
* symmetry: P4/mmm (123)